Record 1
Entry from Alexandria: an optimized crystal structure of TeP2RhO (PBE-GGA).

Cell: 4.8607 4.8607 3.7433 Å, 90.00 90.00 90.00°
Atoms (fractional coordinates):
P: 0.5000 0.0000 0.0000
P: 0.0000 0.5000 0.0000
Te: 0.5000 0.5000 0.5000
O: 0.0000 0.0000 0.5000
Rh: 0.0000 0.0000 0.0000

Values from the calculation:
E_form (uncorrected): 0.162 eV per atom
Relative energy among the computed polymorphs: 0 meV per atom
Space-group type: P4/mmm, No. 123

Record 2
Entry from Alexandria: an optimized crystal structure of Ho3Mg2In4 (PBE-GGA).

Cell: 4.9523 6.0936 9.3204 Å, 116.16 90.00 113.98°
Atoms (fractional coordinates):
In: 0.7155 0.4310 0.0567
In: 0.0585 0.1170 0.3876
In: 0.2845 0.5690 0.9433
In: 0.9415 0.8830 0.6124
Ho: 0.3368 0.6736 0.3321
Ho: 0.0000 0.0000 0.0000
Ho: 0.6632 0.3264 0.6679
Mg: 0.6164 0.2327 0.2856
Mg: 0.3836 0.7673 0.7144

Values from the calculation:
E_tot: -3.468 eV per atom
Space-group type: C2/m, No. 12

Record 3
Entry from Alexandria: an optimized crystal structure of Zr3RuRh2 (PBE-GGA).

Cell: 4.6551 4.6551 5.7109 Å, 90.00 90.00 120.00°
Atoms (fractional coordinates):
Ru: 0.0000 0.0000 0.0000
Zr: 0.6667 0.3333 0.8381
Zr: 0.3333 0.6667 0.1619
Zr: 0.0000 0.0000 0.5000
Rh: 0.3333 0.6667 0.6622
Rh: 0.6667 0.3333 0.3378

Values from the calculation:
E_tot: -8.974 eV per atom
Space-group type: P-3m1, No. 164

What is the formula in the second record?
Ho3Mg2In4